(1)
TiCrSnO6: optimized geometry, PBE+U.

Structure (extended XYZ):
```
18
Lattice="-2.193 3.779 1.592 -3.616 -0.930 -2.772 -3.839 -5.052 6.705" Properties=species:S:1:pos:R:3 pbc="T T T"
O -5.521 -4.184 6.316
O -3.098 2.059 1.897
O -4.383 -2.475 4.100
O -4.382 0.313 4.001
O -6.546 -1.414 3.661
O -5.217 -2.453 1.438
O -5.380 0.264 1.470
O -5.711 -1.418 6.368
O -7.918 -3.008 5.829
O -6.566 -4.245 3.748
O -3.991 -0.896 -0.841
O -3.058 -0.875 1.941
Cr -3.837 -5.049 6.700
Cr -4.821 -1.098 2.757
Sn -3.544 0.582 0.528
Sn -2.560 -3.368 4.470
Ti -1.261 -1.659 2.202
Ti -6.085 -2.761 4.964
```

Summary:
E_tot: -7.493 eV per atom
space-group type: No. 102
magnetization: 2.0 μB per formula unit

---

(2)
Tl2CrSnO6: optimized geometry, PBE+U.

Structure (extended XYZ):
```
10
Lattice="5.576 0.021 0.015 2.804 4.926 -0.022 2.804 1.623 4.651" Properties=species:S:1:pos:R:3 pbc="T T T"
O 4.177 3.668 3.396
O 4.215 1.251 1.730
O 7.735 3.326 1.422
O 7.016 4.548 4.014
O 4.181 5.297 1.091
O 6.233 1.614 3.718
Sn 2.794 1.648 0.237
Cr 8.386 4.933 2.560
Tl 2.913 1.630 3.729
Tl 5.479 3.289 1.397
```

Summary:
E_tot: -5.771 eV per atom
space-group type: No. 12
magnetization: 2.9 μB per formula unit
N(E_F): 2.21 states/eV/cell

---

(3)
VCr2SnO6: optimized geometry, PBE+U.

Structure (extended XYZ):
```
10
Lattice="5.252 0.001 0.003 2.627 4.550 0.003 2.622 1.514 4.699" Properties=species:S:1:pos:R:3 pbc="T T T"
Cr 2.622 1.514 4.496
Cr 5.251 3.032 2.104
V 2.627 1.518 0.293
O 6.106 1.690 3.502
O 4.181 4.458 1.173
O 4.551 1.392 1.172
O 3.659 2.960 3.502
O 5.984 4.447 3.502
O 7.022 3.247 1.172
Sn 7.877 4.549 2.674
```

Summary:
E_tot: -7.408 eV per atom
space-group type: No. 146
magnetization: 9.0 μB per formula unit